1 | # Mg7Cd3In

Mg7Cd3In after structural relaxation (PBE-GGA, the Alexandria database).

## Properties
Space group: C2/m
Crystal system: monoclinic

a = 7.514 Å, b = 7.514 Å, c = 5.404 Å
α = 110.97°, β = 110.97°, γ = 89.79°
Element x y z (fractional)
Mg: 0.000 0.000 0.000
Mg: 0.099 0.553 0.325
Mg: 0.316 0.316 0.819
Mg: 0.447 0.901 0.675
Mg: 0.553 0.099 0.325
Mg: 0.684 0.684 0.181
Mg: 0.901 0.447 0.675
Cd: 0.273 0.727 0.000
Cd: 0.500 0.500 0.500
Cd: 0.727 0.273 0.000
In: 0.000 0.000 0.500

=====

2 | # Mg7Cd3In

Mg7Cd3In after structural relaxation (PBE-GGA, the Alexandria database).

## Properties
Space group: Cmcm
Crystal system: orthorhombic

a = 11.755 Å, b = 11.755 Å, c = 13.503 Å
α = 90.00°, β = 90.00°, γ = 164.00°
Element x y z (fractional)
Mg: 0.045 0.955 0.607
Mg: 0.045 0.955 0.893
Mg: 0.093 0.907 0.101
Mg: 0.093 0.907 0.399
Mg: 0.186 0.814 0.750
Mg: 0.226 0.774 0.091
Mg: 0.226 0.774 0.409
Mg: 0.774 0.226 0.591
Mg: 0.774 0.226 0.909
Mg: 0.814 0.186 0.250
Mg: 0.907 0.093 0.601
Mg: 0.907 0.093 0.899
Mg: 0.955 0.045 0.107
Mg: 0.955 0.045 0.393
Cd: 0.332 0.668 0.750
Cd: 0.349 0.651 0.066
Cd: 0.349 0.651 0.434
Cd: 0.651 0.349 0.566
Cd: 0.651 0.349 0.934
Cd: 0.668 0.332 0.250
In: 0.475 0.525 0.750
In: 0.525 0.475 0.250

=====

Which of them is the most stable, and which is the least stable? 2 and 1, in that order.

=====

1 | # Mg3Cd3In2

Mg3Cd3In2 after structural relaxation (PBE-GGA, the Alexandria database).

## Properties
Space group: R32
Crystal system: trigonal

a = 5.723 Å, b = 5.723 Å, c = 5.723 Å
α = 85.53°, β = 85.53°, γ = 85.53°
Element x y z (fractional)
Mg: 0.000 0.752 0.248
Mg: 0.248 0.000 0.752
Mg: 0.752 0.248 0.000
Cd: 0.257 0.500 0.743
Cd: 0.500 0.743 0.257
Cd: 0.743 0.257 0.500
In: 0.244 0.244 0.244
In: 0.756 0.756 0.756

=====

2 | # Mg3Cd3In2

Mg3Cd3In2 after structural relaxation (PBE-GGA, the Alexandria database).

## Properties
Space group: Immm
Crystal system: orthorhombic

a = 9.660 Å, b = 9.660 Å, c = 9.660 Å
α = 153.80°, β = 152.45°, γ = 38.38°
Element x y z (fractional)
Mg: 0.000 0.000 0.000
Mg: 0.377 0.877 0.500
Mg: 0.623 0.123 0.500
Cd: 0.117 0.617 0.500
Cd: 0.500 0.500 0.000
Cd: 0.883 0.383 0.500
In: 0.247 0.247 0.000
In: 0.753 0.753 0.000

=====

Which of them is the most stable, and which is the least stable? 2 and 1, in that order.